Entry from Alexandria via LeMat-Bulk: a PBEsol-optimized structure of NaTiO2 (SCAN).

As for the raw formation energy: -258 kJ per mole of atoms. The volume comes out at 41 Å³/f.u. As for the crystal system: cubic.

It has space group Fd-3m (No. 227, origin choice 2), with a = 8.707 Å, b = 8.707 Å, c = 8.707 Å, α = 90.00°, β = 90.00° and γ = 90.00°. The distinct sites, in fractional coordinates, are Na at (0.000, 0.000, 0.000), Ti at (0.000, 0.000, 0.500) and O at (0.014, 0.014, 0.736).



Entry from Alexandria via LeMat-Bulk: a PBEsol-optimized structure of NaNb2AlRh (SCAN).

The volume comes out at 93 Å³/f.u. As for the energy relative to the elements: 815 kJ/mol of formula units. As for the crystal system: tetragonal.

It has space group P4/mmm (No. 123), with a = 4.579 Å, b = 4.579 Å, c = 4.421 Å, α = 90.00°, β = 90.00° and γ = 90.00°. The distinct sites, in fractional coordinates, are Na at (0.000, 0.000, 0.000), Nb at (0.000, 0.500, 0.000), Al at (0.500, 0.500, 0.500) and Rh at (0.000, 0.000, 0.500).